This record from the Alexandria database describes crystalline BaAlCd4Ag2 at its relaxed geometry. The functional is PBE.

Values from the calculation:
**Total magnetization**: 0.0 μB/cell
**Calculated volume**: 25.33 Å³ per atom
**Calculated formation energy**: -0.068 eV per atom
**Space-group type**: No. 166
**ρ**: 6798 kg/m³

Cell: 4.749 4.749 10.732 Å, 77.22 77.22 60.00°
Sites, in units of the cell vectors:
Cd: 0.130 0.130 0.610
Cd: 0.406 0.406 0.783
Cd: 0.594 0.594 0.217
Cd: 0.870 0.870 0.390
Ba: 0.000 0.000 0.000
Ag: 0.764 0.764 0.708
Ag: 0.236 0.236 0.292
Al: 0.500 0.500 0.500